No. 1
Here is a geometry-optimized RbTcBi2 structure from Alexandria via LeMat-Bulk. Energies are from GGA-PBE.

CIF file:
```
data_RbTcBi2
_chemical_formula_sum 'Rb4 Tc4 Bi8'
_symmetry_space_group_name_H-M 'I -4 2 d'
_symmetry_Int_Tables_number 122
_symmetry_space_group_name_Hall 'I -4 2bw'
_cell_length_a 7.1579
_cell_length_b 7.1579
_cell_length_c 14.7704
_cell_angle_alpha 90.00
_cell_angle_beta 90.00
_cell_angle_gamma 90.00
loop_
_atom_site_label
_atom_site_type_symbol
_atom_site_fract_x
_atom_site_fract_y
_atom_site_fract_z
Rb1 Rb 0.0000 0.0000 0.0000
Tc1 Tc 0.0000 0.0000 0.5000
Bi1 Bi 0.0013 0.2500 0.6250
```

Results
**Energy above the most stable polymorph in this dataset**: 0 meV per atom


No. 2
Here is a geometry-optimized La8Tb3Er3 structure from Alexandria via LeMat-Bulk. Energies are from GGA-PBE.

CIF file:
```
data_La8Tb3Er3
_chemical_formula_sum 'La16 Tb6 Er6'
_symmetry_space_group_name_H-M 'I m m m'
_symmetry_Int_Tables_number 71
_symmetry_space_group_name_Hall '-I 2 2'
_cell_length_a 5.7009
_cell_length_b 11.0757
_cell_length_c 15.2567
_cell_angle_alpha 90.00
_cell_angle_beta 90.00
_cell_angle_gamma 90.00
loop_
_atom_site_label
_atom_site_type_symbol
_atom_site_fract_x
_atom_site_fract_y
_atom_site_fract_z
La1 La 0.0000 0.1573 0.2296
La2 La 0.0000 0.3382 0.3935
Tb1 Tb 0.0000 0.0000 0.5000
Tb2 Tb 0.0000 0.5000 0.1754
Er1 Er 0.0000 0.0000 0.0000
Er2 Er 0.0000 0.3003 0.0000
```


no.,VASP energy (eV per atom),ΔH_f (0 K) (eV per formula unit)
1,-4.400,1.5
2,-4.688,1.4